Material: Pm6Pr2Tm
Method: DFT, PBE-GGA
State: optimized geometry

Formation energy from the elements   0.06 eV/atom
Total DFT energy (no corrections)   -4.6706 eV/atom
SG   Cmmm, No. 65
Relative energy among the computed polymorphs   0.0 kJ/mol of atoms
D(E_F)   12.49 states/eV per cell

Unit cell a=3.5612 b=9.9483 c=10.5907 alpha=118.01 beta=70.39 gamma=90.00
With the nearest neighbours (Å) after each atom.
Fractional positions:
Pm (0.8291, 0.0008, 0.6704)  5 Pm 3.29-3.56
Pm (0.1709, 0.3305, 0.3296)  5 Pm 3.29-3.56
Pm (0.1709, 0.9992, 0.3296)  5 Pm 3.29-3.56
Pm (0.5000, 0.3300, 0.0000)  5 Pm 3.29-3.56
Pm (0.8291, 0.6695, 0.6704)  5 Pm 3.29-3.56
Pm (0.5000, 0.6700, 0.0000)  5 Pm 3.29-3.56
Pr (0.3336, 0.3332, 0.6663)  2 Pr 3.56, 12 Pm 3.77-3.79
Pr (0.6664, 0.6668, 0.3337)  2 Pr 3.56, 12 Pm 3.77-3.79
Tm (0.0000, 0.0000, 0.0000)  2 Tm 3.56, 12 Pm 3.73-3.74

Material: PmPr8Tm6
Method: DFT, PBE-GGA
State: optimized geometry

Formation energy from the elements   0.18 eV/atom
Total DFT energy (no corrections)   -4.4727 eV/atom
SG   P-3, No. 147
Relative energy among the computed polymorphs   1.0 kJ/mol of atoms
D(E_F)   25.03 states/eV per cell

Unit cell a=6.5116 b=9.5101 c=9.5101 alpha=120.00 beta=90.00 gamma=90.00
With the nearest neighbours (Å) after each atom.
Fractional positions:
Pm (0.5000, 0.0000, 0.0000)  6 Pr 3.31
Pr (0.8236, 0.0434, 0.2875)  3 Pr 3.28-3.43, 1 Pm 3.31, 4 Tm 3.38-3.58
Pr (0.8236, 0.7125, 0.7559)  3 Pr 3.28-3.43, 1 Pm 3.31, 4 Tm 3.38-3.58
Pr (0.8236, 0.2441, 0.9566)  3 Pr 3.28-3.43, 1 Pm 3.31, 4 Tm 3.38-3.58
Pr (0.1764, 0.9566, 0.7125)  3 Pr 3.28-3.43, 1 Pm 3.31, 4 Tm 3.38-3.58
Pr (0.1764, 0.2875, 0.2441)  3 Pr 3.28-3.43, 1 Pm 3.31, 4 Tm 3.38-3.58
Pr (0.1764, 0.7559, 0.0434)  3 Pr 3.28-3.43, 1 Pm 3.31, 4 Tm 3.38-3.58
Pr (0.8686, 0.3333, 0.6667)  3 Pr 3.28
Pr (0.1314, 0.6667, 0.3333)  3 Pr 3.28
Tm (0.6659, 0.6525, 0.0987)  1 Tm 3.34, 6 Pr 3.38-3.73
Tm (0.6659, 0.9013, 0.5538)  1 Tm 3.34, 6 Pr 3.38-3.73
Tm (0.6659, 0.4462, 0.3475)  1 Tm 3.34, 6 Pr 3.38-3.73
Tm (0.3341, 0.3475, 0.9013)  1 Tm 3.34, 6 Pr 3.38-3.73
Tm (0.3341, 0.0987, 0.4462)  1 Tm 3.34, 6 Pr 3.38-3.73
Tm (0.3341, 0.5538, 0.6525)  1 Tm 3.34, 6 Pr 3.38-3.73

Material: Pm9Pr2Tm
Method: DFT, PBE-GGA
State: optimized geometry

Formation energy from the elements   0.02 eV/atom
Total DFT energy (no corrections)   -4.7152 eV/atom
SG   P4/mmm, No. 123
Relative energy among the computed polymorphs   0.0 kJ/mol of atoms
D(E_F)   19.75 states/eV per cell

Unit cell a=5.1542 b=5.1542 c=15.4663 alpha=90.00 beta=90.00 gamma=90.00
With the nearest neighbours (Å) after each atom.
Fractional positions:
Pm (0.5000, 0.5000, 0.0000)  8 Pm 3.61, 4 Tm 3.64
Pm (0.5000, 0.5000, 0.3316)  4 Pr 3.64, 8 Pm 3.66
Pm (0.5000, 0.5000, 0.6684)  4 Pr 3.64, 8 Pm 3.66
Pm (0.5000, 0.0000, 0.1636)  8 Pm 3.61-3.66, 2 Tm 3.61, 2 Pr 3.66
Pm (0.5000, 0.0000, 0.5000)  8 Pm 3.64-3.66, 4 Pr 3.67
Pm (0.5000, 0.0000, 0.8364)  8 Pm 3.61-3.66, 2 Tm 3.61, 2 Pr 3.66
Pm (0.0000, 0.5000, 0.1636)  2 Tm 3.61, 8 Pm 3.61-3.66, 2 Pr 3.66
Pm (0.0000, 0.5000, 0.5000)  8 Pm 3.64-3.66, 4 Pr 3.67
Pm (0.0000, 0.5000, 0.8364)  2 Tm 3.61, 8 Pm 3.61-3.66, 2 Pr 3.66
Pr (0.0000, 0.0000, 0.3315)  12 Pm 3.64-3.67
Pr (0.0000, 0.0000, 0.6685)  12 Pm 3.64-3.67
Tm (0.0000, 0.0000, 0.0000)  12 Pm 3.61-3.64

Material: Pm4Pr5Tm
Method: DFT, PBE-GGA
State: optimized geometry

Formation energy from the elements   0.02 eV/atom
Total DFT energy (no corrections)   -4.7208 eV/atom
SG   P-1, No. 2
Relative energy among the computed polymorphs   0.0 kJ/mol of atoms
D(E_F)   15.31 states/eV per cell

Unit cell a=3.6650 b=10.3829 c=9.6910 alpha=105.51 beta=79.18 gamma=90.07
With the nearest neighbours (Å) after each atom.
Fractional positions:
Pm (0.3011, 0.1001, 0.3988)  6 Pm 3.63-3.68, 5 Pr 3.64-3.70, 1 Tm 3.65
Pm (0.9012, 0.2947, 0.1984)  2 Tm 3.62-3.63, 6 Pr 3.63-3.71, 4 Pm 3.63-3.66
Pm (0.6989, 0.8999, 0.6012)  6 Pm 3.63-3.68, 5 Pr 3.64-3.70, 1 Tm 3.65
Pm (0.0988, 0.7053, 0.8016)  2 Tm 3.62-3.63, 6 Pr 3.63-3.71, 4 Pm 3.63-3.66
Pr (0.2998, 0.5998, 0.4000)  7 Pr 3.66-3.72, 5 Pm 3.67-3.71
Pr (0.9020, 0.8042, 0.1975)  2 Tm 3.62, 4 Pm 3.63-3.70, 6 Pr 3.66-3.72
Pr (0.0980, 0.1958, 0.8025)  2 Tm 3.62, 4 Pm 3.63-3.70, 6 Pr 3.66-3.72
Pr (0.5000, 0.5000, 0.0000)  8 Pr 3.66-3.69, 4 Pm 3.69-3.70
Pr (0.7002, 0.4002, 0.6000)  7 Pr 3.66-3.72, 5 Pm 3.67-3.71
Tm (0.5000, 0.0000, 0.0000)  4 Pr 3.62, 6 Pm 3.62-3.65, 2 Tm 3.66

Material: PmPr4Tm15
Method: DFT, PBE-GGA
State: optimized geometry

Formation energy from the elements   0.03 eV/atom
Total DFT energy (no corrections)   -4.5183 eV/atom
SG   P4/mmm, No. 123
D(E_F)   29.31 states/eV per cell

Unit cell a=5.0205 b=5.0205 c=24.9446 alpha=90.00 beta=90.00 gamma=90.00
With the nearest neighbours (Å) after each atom.
Fractional positions:
Pm (0.0000, 0.0000, 0.0000)  12 Tm 3.53-3.55
Pr (0.0000, 0.0000, 0.1998)  12 Tm 3.54-3.55
Pr (0.0000, 0.0000, 0.3999)  12 Tm 3.54-3.55
Pr (0.0000, 0.0000, 0.6001)  12 Tm 3.54-3.55
Pr (0.0000, 0.0000, 0.8002)  12 Tm 3.54-3.55
Tm (0.5000, 0.5000, 0.0000)  8 Tm 3.53, 4 Pm 3.55
Tm (0.5000, 0.5000, 0.1996)  8 Tm 3.54, 4 Pr 3.55
Tm (0.5000, 0.5000, 0.3999)  8 Tm 3.54, 4 Pr 3.55
Tm (0.5000, 0.5000, 0.6001)  8 Tm 3.54, 4 Pr 3.55
Tm (0.5000, 0.5000, 0.8004)  8 Tm 3.54, 4 Pr 3.55
Tm (0.5000, 0.0000, 0.0994)  8 Tm 3.53-3.55, 2 Pm 3.53, 2 Pr 3.55
Tm (0.5000, 0.0000, 0.2998)  4 Pr 3.54, 8 Tm 3.54-3.55
Tm (0.5000, 0.0000, 0.5000)  8 Tm 3.54-3.55, 4 Pr 3.54
Tm (0.5000, 0.0000, 0.7002)  4 Pr 3.54, 8 Tm 3.54-3.55
Tm (0.5000, 0.0000, 0.9006)  2 Pm 3.53, 8 Tm 3.53-3.55, 2 Pr 3.55
Tm (0.0000, 0.5000, 0.0994)  8 Tm 3.53-3.55, 2 Pm 3.53, 2 Pr 3.55
Tm (0.0000, 0.5000, 0.2998)  4 Pr 3.54, 8 Tm 3.54-3.55
Tm (0.0000, 0.5000, 0.5000)  8 Tm 3.54-3.55, 4 Pr 3.54
Tm (0.0000, 0.5000, 0.7002)  4 Pr 3.54, 8 Tm 3.54-3.55
Tm (0.0000, 0.5000, 0.9006)  2 Pm 3.53, 8 Tm 3.53-3.55, 2 Pr 3.55

Material: Pm3Pr7Tm2
Method: DFT, PBE-GGA
State: optimized geometry

Formation energy from the elements   0.26 eV/atom
Total DFT energy (no corrections)   -4.4592 eV/atom
SG   P2/m, No. 10
Relative energy among the computed polymorphs   16.3 kJ/mol of atoms
D(E_F)   17.04 states/eV per cell

Unit cell a=5.6757 b=6.3628 c=12.3189 alpha=91.45 beta=90.00 gamma=90.00
With the nearest neighbours (Å) after each atom.
Fractional positions:
Pm (0.5000, 0.5000, 0.0000)  6 Pr 3.37-3.70, 2 Tm 3.49
Pm (0.0000, 0.9285, 0.3409)  2 Tm 3.49, 6 Pr 3.58-3.80
Pm (0.0000, 0.0715, 0.6591)  2 Tm 3.49, 6 Pr 3.58-3.80
Pr (0.5000, 0.2470, 0.4508)  2 Tm 3.28-3.42, 3 Pr 3.40-3.56
Pr (0.5000, 0.7530, 0.5492)  2 Tm 3.28-3.42, 3 Pr 3.40-3.56
Pr (0.0000, 0.4411, 0.1895)  2 Tm 3.25, 1 Pm 3.58, 3 Pr 3.60
Pr (0.0000, 0.0000, 0.0000)  6 Pr 3.57-3.60
Pr (0.0000, 0.5589, 0.8105)  2 Tm 3.25, 1 Pm 3.58, 3 Pr 3.60
Pr (0.5000, 0.9064, 0.8294)  2 Tm 3.26-3.62, 1 Pm 3.37, 5 Pr 3.56-3.60
Pr (0.5000, 0.0936, 0.1706)  2 Tm 3.26-3.62, 1 Pm 3.37, 5 Pr 3.56-3.60
Tm (0.5000, 0.6296, 0.2772)  6 Pr 3.25-3.62, 3 Pm 3.49
Tm (0.5000, 0.3704, 0.7228)  6 Pr 3.25-3.62, 3 Pm 3.49

Question: The highest total DFT energy (no corrections) belongs to which entry?
Answer: Pm3Pr7Tm2

Question: total DFT energy (no corrections) of number 6 (Pm3Pr7Tm2)?
Answer: -4.4592 eV/atom

Question: Number 6 is which compound?
Answer: Pm3Pr7Tm2

Repeat the fifth record exactly.
Material: PmPr4Tm15
Method: DFT, PBE-GGA
State: optimized geometry

Formation energy from the elements   0.03 eV/atom
Total DFT energy (no corrections)   -4.5183 eV/atom
SG   P4/mmm, No. 123
D(E_F)   29.31 states/eV per cell

Unit cell a=5.0205 b=5.0205 c=24.9446 alpha=90.00 beta=90.00 gamma=90.00
With the nearest neighbours (Å) after each atom.
Fractional positions:
Pm (0.0000, 0.0000, 0.0000)  12 Tm 3.53-3.55
Pr (0.0000, 0.0000, 0.1998)  12 Tm 3.54-3.55
Pr (0.0000, 0.0000, 0.3999)  12 Tm 3.54-3.55
Pr (0.0000, 0.0000, 0.6001)  12 Tm 3.54-3.55
Pr (0.0000, 0.0000, 0.8002)  12 Tm 3.54-3.55
Tm (0.5000, 0.5000, 0.0000)  8 Tm 3.53, 4 Pm 3.55
Tm (0.5000, 0.5000, 0.1996)  8 Tm 3.54, 4 Pr 3.55
Tm (0.5000, 0.5000, 0.3999)  8 Tm 3.54, 4 Pr 3.55
Tm (0.5000, 0.5000, 0.6001)  8 Tm 3.54, 4 Pr 3.55
Tm (0.5000, 0.5000, 0.8004)  8 Tm 3.54, 4 Pr 3.55
Tm (0.5000, 0.0000, 0.0994)  8 Tm 3.53-3.55, 2 Pm 3.53, 2 Pr 3.55
Tm (0.5000, 0.0000, 0.2998)  4 Pr 3.54, 8 Tm 3.54-3.55
Tm (0.5000, 0.0000, 0.5000)  8 Tm 3.54-3.55, 4 Pr 3.54
Tm (0.5000, 0.0000, 0.7002)  4 Pr 3.54, 8 Tm 3.54-3.55
Tm (0.5000, 0.0000, 0.9006)  2 Pm 3.53, 8 Tm 3.53-3.55, 2 Pr 3.55
Tm (0.0000, 0.5000, 0.0994)  8 Tm 3.53-3.55, 2 Pm 3.53, 2 Pr 3.55
Tm (0.0000, 0.5000, 0.2998)  4 Pr 3.54, 8 Tm 3.54-3.55
Tm (0.0000, 0.5000, 0.5000)  8 Tm 3.54-3.55, 4 Pr 3.54
Tm (0.0000, 0.5000, 0.7002)  4 Pr 3.54, 8 Tm 3.54-3.55
Tm (0.0000, 0.5000, 0.9006)  2 Pm 3.53, 8 Tm 3.53-3.55, 2 Pr 3.55